Entry 1:
VASP calculation (GGA-PBE) on crystalline LuThCuSn at its relaxed geometry.

Cell lengths 5.184, 5.184, 5.184 Å; angles 60.00, 60.00, 60.00 degrees
Fractional positions:
Lu 0.000 0.000 0.000
Th 0.500 0.500 0.500
Cu 0.250 0.250 0.250
Sn 0.750 0.750 0.750

Calculated values
total DFT energy (no corrections)	-5.284	eV per atom
DFT formation energy	-0.27	eV/atom

***

Entry 2:
VASP calculation (GGA-PBE) on crystalline TmLuCuSn at its relaxed geometry.

Cell lengths 5.054, 5.054, 5.054 Å; angles 60.00, 60.00, 60.00 degrees
Fractional positions:
Tm 0.000 0.000 0.000
Lu 0.500 0.500 0.500
Cu 0.750 0.750 0.750
Sn 0.250 0.250 0.250

Calculated values
total DFT energy (no corrections)	-4.671	eV per atom
DFT formation energy	-0.40	eV/atom